Arrangement A

HfPd3F | PBE | optimized geometry

Calculated values
**Size of the total moment**: 0.0000 μB per atom

Lattice parameters (Å, degrees): 4.9125 4.9125 4.9125 90.00 90.00 90.00
Last column: nearest neighbours and their distance in Å.
Sites, in units of the cell vectors:
Hf 0.0000 0.0000 0.0000  6 Pd 2.46
Pd 0.0000 0.0000 0.5000  2 Hf 2.46
Pd 0.0000 0.5000 0.0000  2 Hf 2.46
Pd 0.5000 0.0000 0.0000  2 Hf 2.46
F 0.5000 0.5000 0.5000  12 Pd 3.47



Arrangement B

HfPd3F | PBE | optimized geometry

Calculated values
**Size of the total moment**: 0.0000 μB per atom

Lattice parameters (Å, degrees): 4.3582 4.3582 4.3582 90.00 90.00 90.00
Last column: nearest neighbours and their distance in Å.
Sites, in units of the cell vectors:
Hf 0.0000 0.0000 0.0000  12 Pd 3.08
Pd 0.0000 0.5000 0.5000  2 F 2.18
Pd 0.5000 0.0000 0.5000  2 F 2.18
Pd 0.5000 0.5000 0.0000  2 F 2.18
F 0.5000 0.5000 0.5000  6 Pd 2.18



According to the calculations, the structures order from most to least stable as arrangement B, arrangement A.



Arrangement A

HfPt2F2 | PBE | optimized geometry

Calculated values
**Size of the total moment**: 0.0000 μB per atom

Lattice parameters (Å, degrees): 6.5217 6.5217 6.5217 149.01 149.01 44.40
Last column: nearest neighbours and their distance in Å.
Sites, in units of the cell vectors:
Hf 0.0000 0.0000 0.0000  8 Pt 2.80
Pt 0.3896 0.3896 0.0000  4 F 2.42, 1 Pt 2.67
Pt 0.6104 0.6104 0.0000  4 F 2.42, 1 Pt 2.67
F 0.2500 0.7500 0.5000  4 Pt 2.42, 4 F 2.46
F 0.7500 0.2500 0.5000  4 Pt 2.42, 4 F 2.46



Arrangement B

HfPt2F2 | PBE | optimized geometry

Calculated values
**Size of the total moment**: 0.0000 μB per atom

Lattice parameters (Å, degrees): 7.1023 7.1023 3.0342 90.00 90.00 90.00
Last column: nearest neighbours and their distance in Å.
Sites, in units of the cell vectors:
Hf 0.0000 0.0000 0.0000  4 Pt 2.80, 8 F 3.01, 2 Hf 3.03
Hf 0.5000 0.5000 0.0000  4 Pt 2.80, 8 F 3.01, 2 Hf 3.03
Pt 0.1268 0.3732 0.0000  6 F 2.43-2.71, 1 Pt 2.55
Pt 0.3732 0.8732 0.0000  6 F 2.43-2.71, 1 Pt 2.55
Pt 0.6268 0.1268 0.0000  6 F 2.43-2.71, 1 Pt 2.55
Pt 0.8732 0.6268 0.0000  6 F 2.43-2.71, 1 Pt 2.55
F 0.1847 0.6847 0.5000  6 Pt 2.43-2.71
F 0.3153 0.1847 0.5000  6 Pt 2.43-2.71
F 0.6847 0.8153 0.5000  6 Pt 2.43-2.71
F 0.8153 0.3153 0.5000  6 Pt 2.43-2.71



According to the calculations, the structures order from most to least stable as arrangement A, arrangement B.